Entry 1:
Density functional theory data (PBE-GGA) for a relaxed structure of AgBr2Cl2.

Unit cell a=11.7409 b=11.7409 c=11.7409 alpha=162.40 beta=162.40 gamma=25.00
With the nearest neighbours (Å) after each atom.
Fractional coordinates of all 5 atoms:
Ag 0.0000 0.0000 0.0000  8 Br 3.06
Br 0.4260 0.4260 0.0000  4 Ag 3.06, 1 Br 3.39
Br 0.5740 0.5740 0.0000  4 Ag 3.06, 1 Br 3.39
Cl 0.2500 0.7500 0.5000  4 Cl 2.54
Cl 0.7500 0.2500 0.5000  4 Cl 2.54

Values from the calculation:
* distance to the lowest polymorph of the same formula: 0.317 eV per atom
* density: 3.8 g/cm³

***

Entry 2:
Density functional theory data (PBE-GGA) for a relaxed structure of Ag6Br5Cl2.

Unit cell a=10.4913 b=10.4913 c=12.6688 alpha=121.78 beta=121.78 gamma=40.95
With the nearest neighbours (Å) after each atom.
Fractional coordinates of all 26 atoms:
Ag 0.0168 0.0991 0.1938  2 Br 2.65-2.66, 2 Cl 2.82-2.83
Ag 0.0706 0.6341 0.9853  1 Cl 2.66, 4 Br 2.71-2.96
Ag 0.0947 0.4030 0.6184  1 Cl 2.53, 2 Br 2.61-2.83
Ag 0.0991 0.0168 0.6938  2 Br 2.65-2.66, 2 Cl 2.82-2.83
Ag 0.3659 0.9294 0.5147  1 Cl 2.66, 4 Br 2.71-2.96
Ag 0.4030 0.0947 0.1184  1 Cl 2.53, 2 Br 2.61-2.83
Ag 0.5970 0.9053 0.8816  1 Cl 2.53, 2 Br 2.61-2.83
Ag 0.6341 0.0706 0.4853  1 Cl 2.66, 4 Br 2.71-2.96
Ag 0.9009 0.9832 0.3062  2 Br 2.65-2.66, 2 Cl 2.82-2.83
Ag 0.9053 0.5970 0.3816  1 Cl 2.53, 2 Br 2.61-2.83
Ag 0.9294 0.3659 0.0147  1 Cl 2.66, 4 Br 2.71-2.96
Ag 0.9832 0.9009 0.8062  2 Br 2.65-2.66, 2 Cl 2.82-2.83
Br 0.1942 0.2664 0.9096  5 Ag 2.71-2.98
Br 0.2418 0.7582 0.2500  4 Ag 2.65-2.96
Br 0.2636 0.5263 0.8304  3 Ag 2.61-2.76
Br 0.2664 0.1942 0.4096  5 Ag 2.71-2.98
Br 0.4737 0.7364 0.6696  3 Ag 2.61-2.76
Br 0.5263 0.2636 0.3304  3 Ag 2.61-2.76
Br 0.7336 0.8058 0.5904  5 Ag 2.71-2.98
Br 0.7364 0.4737 0.1696  3 Ag 2.61-2.76
Br 0.7582 0.2418 0.7500  4 Ag 2.65-2.96
Br 0.8058 0.7336 0.0904  5 Ag 2.71-2.98
Cl 0.0142 0.7897 0.4701  4 Ag 2.53-2.83
Cl 0.2103 0.9858 0.0299  4 Ag 2.53-2.83
Cl 0.7897 0.0142 0.9701  4 Ag 2.53-2.83
Cl 0.9858 0.2103 0.5299  4 Ag 2.53-2.83

Values from the calculation:
* VASP energy: -33.17 eV per formula unit
* density: 4.9 g/cm³

***

Entry 3:
Density functional theory data (PBE-GGA) for a relaxed structure of AgBrCl2.

Unit cell a=4.5560 b=4.5560 c=8.1392 alpha=90.00 beta=90.00 gamma=132.79
With the nearest neighbours (Å) after each atom.
Fractional coordinates of all 4 atoms:
Ag 0.0000 0.0000 0.0000  4 Cl 2.47
Br 0.0000 0.0000 0.5000  4 Cl 3.02
Cl 0.5000 0.5000 0.2040  2 Ag 2.47
Cl 0.5000 0.5000 0.7960  2 Ag 2.47

Values from the calculation:
* distance to the lowest polymorph of the same formula: 0.188 eV per atom
* density: 3.5 g/cm³

***

Entry 4:
Density functional theory data (PBE-GGA) for a relaxed structure of AgBrCl2.

Unit cell a=5.0366 b=5.0366 c=5.0366 alpha=60.00 beta=60.00 gamma=60.00
With the nearest neighbours (Å) after each atom.
Fractional coordinates of all 4 atoms:
Ag 0.0000 0.0000 0.0000  4 Br 3.08, 4 Cl 3.08
Br 0.7500 0.7500 0.7500  4 Cl 3.08, 4 Ag 3.08
Cl 0.2500 0.2500 0.2500  4 Cl 3.08, 4 Ag 3.08
Cl 0.5000 0.5000 0.5000  4 Cl 3.08, 4 Br 3.08

Values from the calculation:
* distance to the lowest polymorph of the same formula: 0.548 eV per atom
* density: 4.8 g/cm³

***

Q: Which formula does entry 3 have?
A: AgBrCl2

***

What did the third record say?
Density functional theory data (PBE-GGA) for a relaxed structure of AgBrCl2.

Unit cell a=4.5560 b=4.5560 c=8.1392 alpha=90.00 beta=90.00 gamma=132.79
With the nearest neighbours (Å) after each atom.
Fractional coordinates of all 4 atoms:
Ag 0.0000 0.0000 0.0000  4 Cl 2.47
Br 0.0000 0.0000 0.5000  4 Cl 3.02
Cl 0.5000 0.5000 0.2040  2 Ag 2.47
Cl 0.5000 0.5000 0.7960  2 Ag 2.47

Values from the calculation:
* distance to the lowest polymorph of the same formula: 0.188 eV per atom
* density: 3.5 g/cm³

***

Q: Which value of density does entry 2 give?
A: 4.9 g/cm³

***

Q: Look up the density of the fourth one.
A: 4.8 g/cm³